(1)
Here is a relaxed LaSmRuAu crystal from Alexandria via LeMat-Bulk. Energies are from PBE.

a = 7.242 Å, b = 7.242 Å, c = 7.242 Å
α = 90.00°, β = 90.00°, γ = 90.00°
Space group F-43m (No. 216)
Unique sites:
La  0.000  0.000  0.000 [4 per cell]
Sm  0.000  0.000  0.500 [4 per cell]
Ru  0.250  0.250  0.750 [4 per cell]
Au  0.250  0.250  0.250 [4 per cell]

Values from the calculation:
Energy relative to the elements (meV per atom): -453
Total energy (eV per cell): -96.0

---

(2)
Here is a relaxed SrLa2RuAu crystal from Alexandria via LeMat-Bulk. Energies are from PBE.

a = 5.285 Å, b = 5.285 Å, c = 5.971 Å
α = 90.00°, β = 90.00°, γ = 90.00°
Space group P4/mmm (No. 123)
Unique sites:
Sr  0.000  0.000  0.000 [1 per cell]
La  0.000  0.500  0.500 [2 per cell]
Ru  0.000  0.000  0.500 [1 per cell]
Au  0.500  0.500  0.000 [1 per cell]

Values from the calculation:
Energy relative to the elements (meV per atom): -196
Total energy (eV per cell): -25.1

---

(3)
Here is a relaxed La2TlRuAu crystal from Alexandria via LeMat-Bulk. Energies are from PBE.

a = 8.112 Å, b = 4.160 Å, c = 8.425 Å
α = 90.00°, β = 110.48°, γ = 90.00°
Space group P2_1/m (No. 11)
Unique sites:
La  0.040  0.250  0.246 [2 per cell]
La  0.356  0.750  0.626 [2 per cell]
Tl  0.329  0.250  0.961 [2 per cell]
Ru  0.110  0.250  0.622 [2 per cell]
Au  0.324  0.750  0.228 [2 per cell]

Values from the calculation:
Energy relative to the elements (meV per atom): -488
Total energy (eV per cell): -54.4

---

(4)
Here is a relaxed LaTlRuAu2 crystal from Alexandria via LeMat-Bulk. Energies are from PBE.

a = 5.818 Å, b = 5.818 Å, c = 4.754 Å
α = 90.00°, β = 90.00°, γ = 90.00°
Space group P4/mmm (No. 123)
Unique sites:
La  0.000  0.000  0.000 [1 per cell]
Tl  0.500  0.500  0.500 [1 per cell]
Ru  0.000  0.000  0.500 [1 per cell]
Au  0.000  0.500  0.000 [2 per cell]

Values from the calculation:
Energy relative to the elements (meV per atom): 632
Total energy (eV per cell): -20.0

---

(5)
Here is a relaxed LaTmRuAu crystal from Alexandria via LeMat-Bulk. Energies are from PBE.

a = 7.137 Å, b = 7.137 Å, c = 7.137 Å
α = 90.00°, β = 90.00°, γ = 90.00°
Space group F-43m (No. 216)
Unique sites:
La  0.000  0.000  0.000 [4 per cell]
Tm  0.000  0.000  0.500 [4 per cell]
Ru  0.250  0.250  0.250 [4 per cell]
Au  0.250  0.250  0.750 [4 per cell]

Values from the calculation:
Energy relative to the elements (meV per atom): -497
Total energy (eV per cell): -95.8

---

(6)
Here is a relaxed LaYRuAu crystal from Alexandria via LeMat-Bulk. Energies are from PBE.

a = 7.187 Å, b = 7.187 Å, c = 7.187 Å
α = 90.00°, β = 90.00°, γ = 90.00°
Space group F-43m (No. 216)
Unique sites:
La  0.000  0.000  0.000 [4 per cell]
Y  0.000  0.000  0.500 [4 per cell]
Ru  0.250  0.250  0.250 [4 per cell]
Au  0.250  0.250  0.750 [4 per cell]

Values from the calculation:
Energy relative to the elements (meV per atom): -479
Total energy (eV per cell): -103.4

---

(7)
Here is a relaxed La2ZnRuAu crystal from Alexandria via LeMat-Bulk. Energies are from PBE.

a = 5.343 Å, b = 5.343 Å, c = 4.868 Å
α = 90.00°, β = 90.00°, γ = 90.00°
Space group P4/mmm (No. 123)
Unique sites:
La  0.000  0.500  0.000 [2 per cell]
Zn  0.000  0.000  0.500 [1 per cell]
Ru  0.000  0.000  0.000 [1 per cell]
Au  0.500  0.500  0.500 [1 per cell]

Values from the calculation:
Energy relative to the elements (meV per atom): -322
Total energy (eV per cell): -25.3

---

(8)
Here is a relaxed La2ZnRuAu crystal from Alexandria via LeMat-Bulk. Energies are from PBE.

a = 7.722 Å, b = 4.232 Å, c = 7.770 Å
α = 90.00°, β = 108.15°, γ = 90.00°
Space group P2_1/m (No. 11)
Unique sites:
La  0.124  0.250  0.354 [2 per cell]
La  0.277  0.250  0.961 [2 per cell]
Zn  0.447  0.750  0.343 [2 per cell]
Ru  0.127  0.750  0.106 [2 per cell]
Au  0.326  0.750  0.663 [2 per cell]

Values from the calculation:
Energy relative to the elements (meV per atom): -503
Total energy (eV per cell): -52.4

---

(9)
Here is a relaxed LaZnRu2Au crystal from Alexandria via LeMat-Bulk. Energies are from PBE.

a = 4.836 Å, b = 4.836 Å, c = 5.651 Å
α = 90.00°, β = 90.00°, γ = 90.00°
Space group P4/mmm (No. 123)
Unique sites:
La  0.000  0.000  0.000 [1 per cell]
Zn  0.500  0.500  0.500 [1 per cell]
Ru  0.000  0.500  0.000 [2 per cell]
Au  0.000  0.000  0.500 [1 per cell]

Values from the calculation:
Energy relative to the elements (meV per atom): 1457
Total energy (eV per cell): -20.7

---

(10)
Here is a relaxed LaAu2S crystal from Alexandria via LeMat-Bulk. Energies are from PBE.

a = 7.333 Å, b = 5.078 Å, c = 5.589 Å
α = 90.00°, β = 98.34°, γ = 90.00°
Space group Cm (No. 8)
Unique sites:
La  0.000  0.000  0.000 [2 per cell]
Au  0.272  0.500  0.431 [2 per cell]
Au  0.373  0.000  0.366 [2 per cell]
S  0.112  0.500  0.844 [2 per cell]

Values from the calculation:
Uncorrected formation energy (eV per atom): -0.889
Total energy (eV per cell): -38.3

---

(11)
Here is a relaxed LaAu2S crystal from Alexandria via LeMat-Bulk. Energies are from PBE.

a = 8.333 Å, b = 8.333 Å, c = 5.514 Å
α = 90.00°, β = 90.00°, γ = 90.00°
Space group I-42d (No. 122)
Unique sites:
La  0.000  0.000  0.000 [4 per cell]
Au  0.220  0.250  0.625 [8 per cell]
S  0.000  0.000  0.500 [4 per cell]

Values from the calculation:
Uncorrected formation energy (eV per atom): -0.731
Total energy (eV per cell): -74.1

---

(12)
Here is a relaxed La2AuS2 crystal from Alexandria via LeMat-Bulk. Energies are from PBE.

a = 4.679 Å, b = 4.679 Å, c = 13.777 Å
α = 90.00°, β = 90.00°, γ = 90.00°
Space group I4/mmm (No. 139)
Unique sites:
La  0.000  0.000  0.141 [4 per cell]
Au  0.000  0.000  0.500 [2 per cell]
S  0.000  0.500  0.250 [4 per cell]

Values from the calculation:
Uncorrected formation energy (eV per atom): -1.371
Total energy (eV per cell): -56.5

---

(13)
Here is a relaxed LaAu3S crystal from Alexandria via LeMat-Bulk. Energies are from PBE.

a = 5.729 Å, b = 5.729 Å, c = 5.729 Å
α = 90.00°, β = 90.00°, γ = 90.00°
Space group Pm-3m (No. 221)
Unique sites:
La  0.000  0.000  0.000 [1 per cell]
Au  0.000  0.000  0.500 [3 per cell]
S  0.500  0.500  0.500 [1 per cell]

Values from the calculation:
Uncorrected formation energy (eV per atom): 0.746
Total energy (eV per cell): -15.2

---

(14)
Here is a relaxed La3Au5S12 crystal from Alexandria via LeMat-Bulk. Energies are from PBE.

a = 15.599 Å, b = 15.599 Å, c = 15.599 Å
α = 90.00°, β = 90.00°, γ = 90.00°
Space group Ia-3d (No. 230)
Unique sites:
La  0.000  0.250  0.125 [24 per cell]
Au  0.000  0.000  0.000 [16 per cell]
Au  0.000  0.250  0.375 [24 per cell]
S  0.023  0.058  0.647 [96 per cell]

Values from the calculation:
Uncorrected formation energy (eV per atom): -0.625
Total energy (eV per cell): -745.6

---

(15)
Here is a relaxed La6AuS5 crystal from Alexandria via LeMat-Bulk. Energies are from PBE.

a = 7.284 Å, b = 12.612 Å, c = 7.264 Å
α = 90.00°, β = 109.51°, γ = 90.00°
Space group C2/m (No. 12)
Unique sites:
La  0.242  0.000  0.257 [4 per cell]
La  0.242  0.172  0.744 [8 per cell]
Au  0.000  0.500  0.000 [2 per cell]
S  0.000  0.000  0.500 [2 per cell]
S  0.000  0.166  0.000 [4 per cell]
S  0.000  0.336  0.500 [4 per cell]

Values from the calculation:
Uncorrected formation energy (eV per atom): -1.915
Total energy (eV per cell): -152.9

---

(16)
Here is a relaxed La2AuS crystal from Alexandria via LeMat-Bulk. Energies are from PBE.

a = 7.691 Å, b = 7.691 Å, c = 8.286 Å
α = 90.00°, β = 90.00°, γ = 90.00°
Space group I-42d (No. 122)
Unique sites:
La  0.235  0.250  0.125 [8 per cell]
Au  0.000  0.000  0.500 [4 per cell]
S  0.000  0.000  0.000 [4 per cell]

Values from the calculation:
Uncorrected formation energy (eV per atom): -1.107
Total energy (eV per cell): -86.8

---

(17)
Here is a relaxed La5AuS4 crystal from Alexandria via LeMat-Bulk. Energies are from PBE.

a = 14.069 Å, b = 4.180 Å, c = 10.362 Å
α = 90.00°, β = 119.85°, γ = 90.00°
Space group C2/m (No. 12)
Unique sites:
La  0.000  0.000  0.000 [2 per cell]
La  0.107  0.500  0.394 [4 per cell]
La  0.204  0.000  0.810 [4 per cell]
Au  0.000  0.000  0.500 [2 per cell]
S  0.097  0.500  0.899 [4 per cell]
S  0.203  0.000  0.295 [4 per cell]

Values from the calculation:
Uncorrected formation energy (eV per atom): -1.853
Total energy (eV per cell): -125.9

---

(18)
Here is a relaxed LaAu2S crystal from Alexandria via LeMat-Bulk. Energies are from PBE.

a = 3.869 Å, b = 3.980 Å, c = 6.578 Å
α = 72.55°, β = 89.68°, γ = 90.00°
Space group P1 (No. 1)
Unique sites:
La  0.000  0.000  0.000 [1 per cell]
Au  0.010  0.699  0.599 [1 per cell]
Au  0.509  0.206  0.584 [1 per cell]
S  0.499  0.432  0.137 [1 per cell]

Values from the calculation:
Uncorrected formation energy (eV per atom): -0.998
Total energy (eV per cell): -19.6

---

(19)
Here is a relaxed LaAu2S crystal from Alexandria via LeMat-Bulk. Energies are from PBE.

a = 3.999 Å, b = 4.000 Å, c = 6.400 Å
α = 72.13°, β = 75.35°, γ = 90.00°
Space group P-1 (No. 2)
Unique sites:
La  0.000  0.000  0.000 [1 per cell]
Au  0.263  0.267  0.466 [2 per cell]
S  0.500  0.500  0.000 [1 per cell]

Values from the calculation:
Uncorrected formation energy (eV per atom): -0.983
Total energy (eV per cell): -19.5

---

(20)
Here is a relaxed La2AuS crystal from Alexandria via LeMat-Bulk. Energies are from PBE.

a = 4.2183 Å, b = 4.2183 Å, c = 21.8611 Å
α = 90.00°, β = 90.00°, γ = 120.00°
Space group R-3m (No. 166, hexagonal axes)
Unique sites:
La  0.0000  0.0000  0.2435 [6 per cell]
Au  0.0000  0.0000  0.0000 [3 per cell]
S  0.0000  0.0000  0.5000 [3 per cell]

Values from the calculation:
Uncorrected formation energy (eV per atom): -1.389
Total energy (eV per cell): -68.4